# 1
A relaxed PuScIn2 crystal, computed with PBE-GGA.

Cell: 7.3674 7.3674 7.3674 Å, 90.00 90.00 90.00°
Space group Fm-3m (No. 225)
Unique sites:
Pu 0.0000 0.0000 0.0000 [4 per cell]
Sc 0.0000 0.0000 0.5000 [4 per cell]
In 0.2500 0.2500 0.2500 [8 per cell]

ΔE to the lowest computed polymorph ... 0.0654 eV/atom
Formation enthalpy at 0 K ... -0.2398 eV/atom



# 2
A relaxed Pu2ScIn3 crystal, computed with PBE-GGA.

Cell: 6.1605 6.1605 9.3189 Å, 90.00 90.00 120.00°
Space group P6_3/mmc (No. 194)
Unique sites:
Pu 0.3333 0.6667 0.0739 [4 per cell]
Sc 0.0000 0.0000 0.0000 [2 per cell]
In 0.1727 0.3455 0.7500 [6 per cell]

Formation enthalpy at 0 K ... -0.1833 eV/atom



# 3
A relaxed PuScIn2 crystal, computed with PBE-GGA.

Cell: 3.3711 3.3711 30.9488 Å, 90.00 90.00 120.00°
Space group R-3m (No. 166, hexagonal axes)
Unique sites:
Pu 0.0000 0.0000 0.0000 [3 per cell]
Sc 0.0000 0.0000 0.5000 [3 per cell]
In 0.0000 0.0000 0.2452 [6 per cell]

ΔE to the lowest computed polymorph ... 0.1573 eV/atom
Formation enthalpy at 0 K ... -0.1480 eV/atom



# 4
A relaxed PuScIn crystal, computed with PBE-GGA.

Cell: 5.1617 5.1617 3.2344 Å, 90.00 90.00 120.00°
Space group P3m1 (No. 156)
Unique sites:
Pu 0.0000 0.0000 0.0000 [1 per cell]
Sc 0.6667 0.3333 0.4041 [1 per cell]
In 0.3333 0.6667 0.6096 [1 per cell]

ΔE to the lowest computed polymorph ... 0.1252 eV/atom
Formation enthalpy at 0 K ... -0.1072 eV/atom



# 5
A relaxed Pu2ScIn9 crystal, computed with PBE-GGA.

Cell: 4.6175 4.6175 13.8205 Å, 90.00 90.00 90.00°
Space group P4/mmm (No. 123)
Unique sites:
Pu 0.0000 0.0000 0.1710 [2 per cell]
Sc 0.0000 0.0000 0.5000 [1 per cell]
In 0.0000 0.5000 0.0000 [2 per cell]
In 0.0000 0.5000 0.3390 [4 per cell]
In 0.5000 0.5000 0.1673 [2 per cell]
In 0.5000 0.5000 0.5000 [1 per cell]

Formation enthalpy at 0 K ... -0.2551 eV/atom



# 6
A relaxed PuScIn crystal, computed with PBE-GGA.

Cell: 5.2385 5.2385 6.2196 Å, 90.00 90.00 120.00°
Space group P6_3/mmc (No. 194)
Unique sites:
Pu 0.0000 0.0000 0.0000 [2 per cell]
Sc 0.3333 0.6667 0.2500 [2 per cell]
In 0.3333 0.6667 0.7500 [2 per cell]

ΔE to the lowest computed polymorph ... 0.0000 eV/atom
Formation enthalpy at 0 K ... -0.2323 eV/atom



Among the records above, which one has the highest formation enthalpy at 0 K? number 4



Which of these has the lowest formation enthalpy at 0 K? Pu2ScIn9



What is the formation enthalpy at 0 K in the sixth record? -0.2323 eV/atom



What is the formation enthalpy at 0 K in the sixth record? -0.2323 eV/atom